No. 1
The following is a DFT calculation (PBE-GGA) of a relaxed structure of Nd2TmSn.

Unit cell a=3.4456 b=5.6438 c=13.7882 alpha=90.00 beta=97.18 gamma=90.00
Last column: nearest neighbours and their distance in Å.
Element x y z (fractional)
Nd1 0.8115 0.7500 0.6229  5 Sn 3.17-3.31, 2 Nd 3.45
Nd2 0.0944 0.7500 0.1889  2 Sn 3.26, 3 Tm 3.35-3.36, 2 Nd 3.45
Nd3 0.1885 0.2500 0.3771  5 Sn 3.17-3.31, 2 Nd 3.45
Nd4 0.9056 0.2500 0.8111  2 Sn 3.26, 3 Tm 3.35-3.36, 2 Nd 3.45
Tm1 0.9718 0.7500 0.9435  4 Tm 3.22-3.45, 3 Nd 3.35-3.36
Tm2 0.0282 0.2500 0.0565  4 Tm 3.22-3.45, 3 Nd 3.35-3.36
Sn1 0.6956 0.7500 0.3911  7 Nd 3.17-3.31, 2 Sn 3.45
Sn2 0.3044 0.2500 0.6089  7 Nd 3.17-3.31, 2 Sn 3.45

## Properties
total magnetic moment	0.0	μB per cell
ρ	7.19	g/cm3
formation energy from the elements	-0.051	eV/atom
total DFT energy (no corrections)	-4.554	eV per atom
relative energy among the computed polymorphs	144	kJ/mol of formula units

=====

No. 2
The following is a DFT calculation (PBE-GGA) of a relaxed structure of Er2Tm3In3.

Unit cell a=4.4123 b=4.8371 c=10.5633 alpha=103.24 beta=102.05 gamma=90.00
Last column: nearest neighbours and their distance in Å.
Element x y z (fractional)
Er1 0.7402 0.2402 0.4803  2 In 3.19, 4 Er 3.30, 2 Tm 3.43
Er2 0.2599 0.7598 0.5197  2 In 3.19, 4 Er 3.30, 2 Tm 3.43
Tm1 0.6191 0.6191 0.2382  6 In 3.25-3.28, 2 Tm 3.40, 4 Er 3.43-3.59
Tm2 0.3809 0.3809 0.7618  6 In 3.25-3.28, 2 Tm 3.40, 4 Er 3.43-3.59
Tm3 0.5000 0.0000 0.0000  8 In 3.27-3.35, 4 Tm 3.40
In1 0.1253 0.1253 0.2505  2 Er 3.19, 6 Tm 3.28-3.35, 2 In 3.49
In2 0.0000 0.5000 0.0000  8 Tm 3.25-3.27, 4 In 3.49
In3 0.8747 0.8747 0.7495  2 Er 3.19, 6 Tm 3.28-3.35, 2 In 3.49

## Properties
total magnetic moment	0.0	μB per cell
ρ	9.19	g/cm3
formation energy from the elements	-0.334	eV/atom
total DFT energy (no corrections)	-4.179	eV per atom

=====

No. 3
The following is a DFT calculation (PBE-GGA) of a relaxed structure of LaMoSe2.

Unit cell a=6.1519 b=6.1519 c=6.1519 alpha=40.28 beta=40.28 gamma=40.28
Last column: nearest neighbours and their distance in Å.
Element x y z (fractional)
La1 0.2500 0.2500 0.2500  6 Se 2.99
Mo1 0.7500 0.7500 0.7500  6 Se 2.68
Se1 0.0185 0.0185 0.0185  3 Mo 2.68, 3 La 2.99
Se2 0.4815 0.4815 0.4815  3 Mo 2.68, 3 La 2.99

## Properties
total magnetic moment	1.0	μB per cell
formation energy (no corrections)	-0.8763	eV per atom
ρ	7.43	g/cm3
total DFT energy (no corrections)	-6.558	eV per atom
relative energy among the computed polymorphs	0	kJ/mol of formula units

=====

No. 4
The following is a DFT calculation (PBE-GGA) of a relaxed structure of AcPrDy2Y.

Unit cell a=5.8994 b=6.4206 c=9.8598 alpha=70.84 beta=90.00 gamma=90.00
Last column: nearest neighbours and their distance in Å.
Element x y z (fractional)
Ac1 0.7500 0.5688 0.1990  4 Y 3.65-3.71, 3 Pr 3.67-3.72, 5 Dy 3.67-3.75
Ac2 0.2500 0.4312 0.8010  4 Y 3.65-3.71, 3 Pr 3.67-3.72, 5 Dy 3.67-3.75
Pr1 0.7500 0.3590 0.5987  6 Dy 3.61-3.79, 2 Pr 3.67, 3 Ac 3.67-3.72, 1 Y 3.76
Pr2 0.2500 0.6410 0.4013  6 Dy 3.61-3.79, 2 Pr 3.67, 3 Ac 3.67-3.72, 1 Y 3.76
Dy1 0.7500 0.7749 0.7961  2 Pr 3.61-3.79, 3 Dy 3.64-3.65, 4 Y 3.64-3.77, 3 Ac 3.67-3.75
Dy2 0.2500 0.2251 0.2039  2 Pr 3.61-3.79, 3 Dy 3.64-3.65, 4 Y 3.64-3.77, 3 Ac 3.67-3.75
Dy3 0.2500 0.0350 0.5961  5 Dy 3.61-3.65, 4 Pr 3.61-3.73, 2 Ac 3.73-3.74, 1 Y 3.74
Dy4 0.7500 0.9650 0.4039  5 Dy 3.61-3.65, 4 Pr 3.61-3.73, 2 Ac 3.73-3.74, 1 Y 3.74
Y1 0.2500 0.8348 0.9972  2 Y 3.64, 5 Dy 3.64-3.77, 4 Ac 3.65-3.71, 1 Pr 3.76
Y2 0.7500 0.1652 0.0028  2 Y 3.64, 5 Dy 3.64-3.77, 4 Ac 3.65-3.71, 1 Pr 3.76

## Properties
total magnetic moment	0.0	μB per cell
ρ	7.36	g/cm3
formation energy from the elements	0.042	eV/atom
total DFT energy (no corrections)	-4.869	eV per atom

=====

No. 5
The following is a DFT calculation (PBE-GGA) of a relaxed structure of KTa2Fe2.

Unit cell a=7.8214 b=7.8214 c=2.9101 alpha=90.00 beta=90.00 gamma=90.00
Last column: nearest neighbours and their distance in Å.
Element x y z (fractional)
K1 0.0000 0.0000 0.0000  2 K 2.91, 4 Fe 3.06
K2 0.5000 0.5000 0.0000  2 K 2.91, 4 Fe 3.06
Fe1 0.3688 0.8688 0.0000  4 Ta 2.55
Fe2 0.8688 0.6312 0.0000  4 Ta 2.55
Fe3 0.6312 0.1312 0.0000  4 Ta 2.55
Fe4 0.1312 0.3688 0.0000  4 Ta 2.55
Ta1 0.1357 0.6357 0.5000  4 Fe 2.55
Ta2 0.6357 0.8643 0.5000  4 Fe 2.55
Ta3 0.8643 0.3643 0.5000  4 Fe 2.55
Ta4 0.3643 0.1357 0.5000  4 Fe 2.55

## Properties
total magnetic moment	0.0	μB per cell
ρ	9.56	g/cm3
formation energy from the elements	0.626	eV/atom
total DFT energy (no corrections)	-7.719	eV per atom
relative energy among the computed polymorphs	0	kJ/mol of formula units

=====

No. 6
The following is a DFT calculation (PBE-GGA) of a relaxed structure of Be4TcB.

Unit cell a=4.1643 b=4.1643 c=4.1643 alpha=60.00 beta=60.00 gamma=60.00
Last column: nearest neighbours and their distance in Å.
Element x y z (fractional)
Be1 0.6261 0.6261 0.1217  6 Be 2.06-2.10
Be2 0.6261 0.1217 0.6261  6 Be 2.06-2.10
Be3 0.6261 0.6261 0.6261  6 Be 2.06-2.10
Be4 0.1217 0.6261 0.6261  6 Be 2.06-2.10
B1 0.2500 0.2500 0.2500  12 Be 2.44, 4 Tc 2.55
Tc1 0.0000 0.0000 0.0000  12 Be 2.44, 4 B 2.55

## Properties
total magnetic moment	0.0	μB per cell
ρ	4.71	g/cm3
formation energy from the elements	0.179	eV/atom
total DFT energy (no corrections)	-5.145	eV per atom
relative energy among the computed polymorphs	155	kJ/mol of formula units

=====

No. 7
The following is a DFT calculation (PBE-GGA) of a relaxed structure of La2TaZn.

Unit cell a=3.5626 b=3.5626 c=8.4417 alpha=90.00 beta=90.00 gamma=90.00
Last column: nearest neighbours and their distance in Å.
Element x y z (fractional)
La1 0.0000 0.0000 0.9267  1 Ta 3.03, 4 Zn 3.20
La2 0.5000 0.5000 0.3127  1 Zn 3.21, 4 Ta 3.31, 4 La 3.56
Ta1 0.0000 0.0000 0.5674  4 Zn 2.73, 1 La 3.03
Zn1 0.5000 0.5000 0.6932  4 Ta 2.73

## Properties
total magnetic moment	0.0	μB per cell
ρ	8.12	g/cm3
formation energy from the elements	0.189	eV/atom
total DFT energy (no corrections)	-5.556	eV per atom

=====

No. 8
The following is a DFT calculation (PBE-GGA) of a relaxed structure of ZrTcRh2.

Unit cell a=4.0200 b=4.0196 c=3.9155 alpha=90.00 beta=90.00 gamma=90.00
Last column: nearest neighbours and their distance in Å.
Element x y z (fractional)
Rh1 0.0000 0.0000 0.0000  4 Zr 2.81, 4 Tc 2.81, 4 Rh 2.84
Rh2 0.5000 0.5000 0.0000  4 Tc 2.81, 4 Zr 2.81, 4 Rh 2.84
Tc1 0.5000 0.0000 0.5000  8 Rh 2.81, 4 Zr 2.84
Zr1 0.0000 0.5000 0.5000  8 Rh 2.81, 4 Tc 2.84

## Properties
total magnetic moment	0.0	μB per cell
ρ	10.37	g/cm3
formation energy from the elements	-0.405	eV/atom
total DFT energy (no corrections)	-8.809	eV per atom
relative energy among the computed polymorphs	0	kJ/mol of formula units

=====

No. 9
The following is a DFT calculation (PBE-GGA) of a relaxed structure of AgSb2AsI.

Unit cell a=5.4139 b=5.4139 c=5.3793 alpha=90.00 beta=90.00 gamma=90.00
Last column: nearest neighbours and their distance in Å.
Element x y z (fractional)
I1 0.0000 0.0000 0.5000  2 Ag 2.69
Sb1 0.0000 0.5000 0.0000  2 Ag 2.71
Sb2 0.5000 0.0000 0.0000  2 Ag 2.71
As1 0.5000 0.5000 0.5000  8 Sb 3.82, 4 I 3.83
Ag1 0.0000 0.0000 0.0000  2 I 2.69, 4 Sb 2.71

## Properties
total magnetic moment	0.0	μB per cell
formation energy (no corrections)	0.8443	eV per atom
ρ	5.83	g/cm3
total DFT energy (no corrections)	-2.615	eV per atom
relative energy among the computed polymorphs	56	kJ/mol of formula units

=====

No. 10
The following is a DFT calculation (PBE-GGA) of a relaxed structure of TiCu4Au.

Unit cell a=4.8606 b=4.8606 c=4.8606 alpha=60.00 beta=60.00 gamma=60.00
Last column: nearest neighbours and their distance in Å.
Element x y z (fractional)
Au1 0.0000 0.0000 0.0000  12 Cu 2.85, 4 Ti 2.98
Cu1 0.6249 0.6249 0.1253  6 Cu 2.43
Cu2 0.6249 0.1253 0.6249  6 Cu 2.43
Cu3 0.6249 0.6249 0.6249  6 Cu 2.43
Cu4 0.1253 0.6249 0.6249  6 Cu 2.43
Ti1 0.2500 0.2500 0.2500  12 Cu 2.85, 4 Au 2.98

## Properties
total magnetic moment	0.0	μB per cell
ρ	10.20	g/cm3
formation energy from the elements	-0.135	eV/atom
total DFT energy (no corrections)	-4.728	eV per atom

=====

No. 11
The following is a DFT calculation (PBE-GGA) of a relaxed structure of TbTl2Hg2Te4.

Unit cell a=4.4420 b=8.7979 c=8.7872 alpha=114.42 beta=104.64 gamma=90.00
Last column: nearest neighbours and their distance in Å.
Element x y z (fractional)
Tb1 0.0000 0.0000 0.0000  6 Te 3.13-3.14
Tl1 0.1225 0.5612 0.2450  7 Te 3.43-3.76, 1 Hg 3.63, 1 Tl 3.83
Tl2 0.8775 0.4388 0.7550  7 Te 3.43-3.76, 1 Hg 3.63, 1 Tl 3.83
Hg1 0.6941 0.0274 0.3881  3 Te 2.90-2.98, 2 Hg 3.09
Hg2 0.3059 0.9726 0.6119  3 Te 2.90-2.98, 2 Hg 3.09
Te1 0.1974 0.2561 0.3948  2 Hg 2.98, 1 Tb 3.14
Te2 0.8026 0.7439 0.6052  2 Hg 2.98, 1 Tb 3.14
Te3 0.5174 0.7663 0.0348  1 Hg 2.90, 2 Tb 3.13
Te4 0.4826 0.2337 0.9652  1 Hg 2.90, 2 Tb 3.13

## Properties
total magnetic moment	0.0	μB per cell
formation energy (no corrections)	-0.4807	eV per atom
ρ	8.18	g/cm3
total DFT energy (no corrections)	-2.984	eV per atom

=====

No. 12
The following is a DFT calculation (PBE-GGA) of a relaxed structure of Nd4GeP2Cl.

Unit cell a=4.1808 b=7.2906 c=7.2489 alpha=71.06 beta=90.00 gamma=90.00
Last column: nearest neighbours and their distance in Å.
Element x y z (fractional)
Nd1 0.0000 0.7697 0.7340  3 P 2.87-2.94, 1 Ge 2.99, 2 Cl 3.08
Nd2 0.0000 0.2303 0.2660  3 P 2.87-2.94, 1 Ge 2.99, 2 Cl 3.08
Nd3 0.5000 0.7602 0.2508  3 P 2.89-2.94, 2 Ge 3.00, 1 Cl 3.02
Nd4 0.5000 0.2398 0.7492  3 P 2.89-2.94, 2 Ge 3.00, 1 Cl 3.02
Ge1 0.0000 0.5000 0.5000  6 Nd 2.99-3.00
P1 0.0000 0.0000 0.0000  6 Nd 2.94
P2 0.5000 0.0000 0.5000  6 Nd 2.87-2.89
Cl1 0.5000 0.5000 0.0000  6 Nd 3.02-3.08

## Properties
total magnetic moment	0.0	μB per cell
formation energy (no corrections)	-1.4398	eV per atom
ρ	5.94	g/cm3
total DFT energy (no corrections)	-5.984	eV per atom

=====

No. 13
The following is a DFT calculation (PBE-GGA) of a relaxed structure of Sr2NiTeS.

Unit cell a=5.8036 b=5.8036 c=4.1842 alpha=90.00 beta=90.00 gamma=90.00
Last column: nearest neighbours and their distance in Å.
Element x y z (fractional)
Sr1 0.0000 0.5000 0.0000  2 S 2.90
Sr2 0.5000 0.0000 0.0000  2 S 2.90
S1 0.0000 0.0000 0.0000  2 Ni 2.09
Te1 0.5000 0.5000 0.5000  8 Sr 3.58
Ni1 0.0000 0.0000 0.5000  2 S 2.09

## Properties
total magnetic moment	0.0	μB per cell
formation energy (no corrections)	-1.1949	eV per atom
ρ	4.64	g/cm3
total DFT energy (no corrections)	-4.478	eV per atom